HgW3 | PBE | relaxed

Lattice parameters (Å, degrees): 4.5937 4.5937 4.5937 90.00 120.00 60.00
Fractional coordinates of all 4 atoms:
Hg: 0.0000 0.0000 0.0000
W: 0.5000 0.7500 0.7500
W: 0.0000 0.5000 0.5000
W: 0.5000 0.2500 0.2500

Calculated values
**Energy relative to the lowest polymorph listed for this composition**: 36.5 kJ per mole of atoms
**ΔE_f**: 0.810 eV/atom
**D(E_F)**: 5.312 states/eV/f.u.
**Crystal system**: cubic
**Electronic total energy**: -8.9807 eV/atom